DFT (PBE-GGA) results for a relaxed Mo3Os crystal.

CIF file:
```
data_Mo3Os
_symmetry_space_group_name_H-M 'P 1'
_symmetry_Int_Tables_number 1
_cell_length_a 2.781
_cell_length_b 2.781
_cell_length_c 9.323
_cell_angle_alpha 90.00
_cell_angle_beta 90.00
_cell_angle_gamma 120.00
loop_
_symmetry_equiv_pos_as_xyz
'x,y,z'
loop_
_atom_site_label
_atom_site_type_symbol
_atom_site_fract_x
_atom_site_fract_y
_atom_site_fract_z
Mo1 Mo 0.000 0.000 0.000
Mo2 Mo 0.667 0.333 0.261
Mo3 Mo 0.667 0.333 0.739
Os1 Os 0.000 0.000 0.500
```

- ΔE to the lowest computed polymorph: 0.243 eV/atom
- Crystal system: hexagonal
- E_form: 244 meV per atom
- Calculated volume: 15.62 Å³ per atom
- Symmetry: No. 187
- Size of the total moment: 0.000 Bohr magnetons per cell